Record 1
VASP calculation (GGA-PBE) on an optimized crystal structure of Th2Ga12Ru.

Results
Fermi-level density of states = 0.44 states/eV/atom
V = 586.93 Å³ per cell
ΔH_f (0 K) = -0.359 eV per atom

a b c (Å): 6.127 6.127 15.636
angles (deg): 90.00 90.00 90.00
Sites, in units of the cell vectors:
Th 0.500 0.000 0.762
Ga 0.250 0.750 0.914
Ga 0.750 0.750 0.086
Ga 0.250 0.250 0.086
Ga 0.168 0.332 0.431
Ga 0.250 0.250 0.914
Ga 0.250 0.750 0.086
Ga 0.332 0.832 0.431
Th 0.000 0.500 0.238
Ga 0.832 0.332 0.569
Th 0.000 0.500 0.762
Ga 0.750 0.750 0.914
Ga 0.000 0.000 0.810
Ga 0.000 0.000 0.190
Ga 0.000 0.000 0.654
Ga 0.332 0.168 0.569
Ga 0.668 0.832 0.569
Ga 0.500 0.500 0.810
Ru 0.000 0.500 0.000
Ga 0.168 0.668 0.569
Ru 0.500 0.000 0.000
Ga 0.750 0.250 0.086
Ga 0.750 0.250 0.914
Ga 0.668 0.168 0.431
Ga 0.000 0.000 0.346
Ga 0.832 0.668 0.431
Ga 0.500 0.500 0.190
Th 0.500 0.000 0.238
Ga 0.500 0.500 0.654
Ga 0.500 0.500 0.346

---

Record 2
VASP calculation (GGA-PBE) on an optimized crystal structure of Th2Ga6Ru.

Results
Fermi-level density of states = 0.52 states/eV/atom
V = 177.54 Å³ per cell
ΔH_f (0 K) = -0.544 eV per atom

a b c (Å): 6.309 6.309 6.309
angles (deg): 60.00 60.00 60.00
Sites, in units of the cell vectors:
Ru 0.000 0.000 0.000
Ga 0.716 0.284 0.716
Ga 0.284 0.284 0.716
Ga 0.716 0.284 0.284
Ga 0.284 0.716 0.716
Ga 0.284 0.716 0.284
Th 0.750 0.750 0.750
Ga 0.716 0.716 0.284
Th 0.250 0.250 0.250

---

Record 3
VASP calculation (GGA-PBE) on an optimized crystal structure of ThGa3Ru2.

Results
Fermi-level density of states = 0.52 states/eV/atom
V = 216.66 Å³ per cell
ΔH_f (0 K) = -0.498 eV per atom

a b c (Å): 5.860 6.107 6.107
angles (deg): 97.57 90.00 90.00
Sites, in units of the cell vectors:
Ga 0.750 0.442 0.111
Ga 0.250 0.981 0.981
Ru 0.000 0.773 0.227
Th 0.750 0.642 0.642
Ga 0.250 0.889 0.558
Ru 0.500 0.227 0.773
Th 0.250 0.358 0.358
Ga 0.750 0.111 0.442
Ru 0.500 0.773 0.227
Ga 0.250 0.558 0.889
Ga 0.750 0.019 0.019
Ru 0.000 0.227 0.773

---

Record 4
VASP calculation (GGA-PBE) on an optimized crystal structure of ThGaRu.

Results
Fermi-level density of states = 0.75 states/eV/atom
V = 64.24 Å³ per cell
ΔH_f (0 K) = -0.478 eV per atom

a b c (Å): 3.859 4.384 4.384
angles (deg): 120.00 90.00 90.00
Sites, in units of the cell vectors:
Ru 0.166 0.000 0.000
Ga 0.167 0.667 0.333
Th 0.667 0.333 0.667

---

Record 5
VASP calculation (GGA-PBE) on an optimized crystal structure of Th3Ga2Ru6.

Results
Fermi-level density of states = 1.16 states/eV/atom
V = 421.01 Å³ per cell
ΔH_f (0 K) = -0.368 eV per atom

a b c (Å): 8.178 8.178 8.178
angles (deg): 109.47 109.47 109.47
Sites, in units of the cell vectors:
Th 0.287 0.000 0.287
Ga 0.500 0.000 0.000
Ru 0.000 0.347 0.653
Ru 0.694 0.347 0.347
Ga 0.000 0.500 0.000
Th 0.287 0.287 0.000
Ru 0.306 0.653 0.653
Ru 0.653 0.000 0.347
Th 0.000 0.713 0.713
Ru 0.347 0.000 0.653
Th 0.713 0.713 0.000
Ru 0.653 0.347 0.000
Th 0.713 0.000 0.713
Ru 0.000 0.653 0.347
Ru 0.347 0.694 0.347
Ru 0.653 0.306 0.653
Ru 0.653 0.653 0.306
Th 0.000 0.287 0.287
Ru 0.347 0.347 0.694
Ru 0.347 0.653 0.000
Ga 0.500 0.500 0.500
Ga 0.000 0.000 0.500

---

Record 6
VASP calculation (GGA-PBE) on an optimized crystal structure of ThGaRu2.

Results
Fermi-level density of states = 0.86 states/eV/atom
V = 357.24 Å³ per cell
ΔH_f (0 K) = 0.122 eV per atom

a b c (Å): 7.366 5.963 8.133
angles (deg): 90.00 90.00 90.00
Each line ends with the local moment (μB).
Sites, in units of the cell vectors:
Ru 0.500 0.000 0.500  0.08
Th 0.500 0.750 0.221  -0.01
Ga 0.000 0.750 0.736  0.00
Ru 0.297 0.750 0.971  0.00
Ru 0.000 0.000 0.000  0.00
Ru 0.703 0.250 0.029  0.00
Th 0.000 0.250 0.706  0.00
Ru 0.000 0.500 0.000  0.00
Ru 0.500 0.500 0.500  0.08
Ga 0.000 0.250 0.264  0.00
Ru 0.297 0.250 0.029  0.00
Ga 0.500 0.750 0.733  0.00
Ga 0.500 0.250 0.267  0.00
Th 0.500 0.250 0.779  -0.01
Th 0.000 0.750 0.294  0.00
Ru 0.703 0.750 0.971  0.00

---

Record 7
VASP calculation (GGA-PBE) on an optimized crystal structure of ThGa3Ru3.

Results
Fermi-level density of states = 0.76 states/eV/atom
V = 242.14 Å³ per cell
ΔH_f (0 K) = -0.265 eV per atom

a b c (Å): 6.619 6.619 7.438
angles (deg): 63.58 63.58 60.00
Sites, in units of the cell vectors:
Ga 0.548 0.746 0.610
Ru 0.182 0.696 0.195
Ga 0.097 0.548 0.610
Ga 0.254 0.903 0.390
Ru 0.304 0.072 0.805
Th 0.340 0.340 0.979
Ru 0.928 0.182 0.195
Ru 0.072 0.818 0.805
Ru 0.696 0.928 0.195
Ru 0.818 0.304 0.805
Th 0.660 0.660 0.021
Ga 0.452 0.254 0.390
Ga 0.903 0.452 0.390
Ga 0.746 0.097 0.610

---

Record 8
VASP calculation (GGA-PBE) on an optimized crystal structure of ThGaRu2.

Results
Fermi-level density of states = 0.70 states/eV/atom
V = 72.85 Å³ per cell
ΔH_f (0 K) = -0.240 eV per atom

a b c (Å): 3.359 3.359 6.455
angles (deg): 90.00 90.00 90.00
Sites, in units of the cell vectors:
Ga 0.500 0.500 0.000
Ru 0.000 0.000 0.783
Ru 0.000 0.000 0.217
Th 0.500 0.500 0.500

---

Record 9
VASP calculation (GGA-PBE) on an optimized crystal structure of Th2GaRu3.

Results
Fermi-level density of states = 0.75 states/eV/atom
V = 122.58 Å³ per cell
ΔH_f (0 K) = -0.212 eV per atom

a b c (Å): 4.254 5.313 6.402
angles (deg): 114.52 109.41 90.00
Sites, in units of the cell vectors:
Ru 0.372 0.372 0.744
Ga 0.000 0.500 0.000
Ru 0.000 0.000 0.000
Th 0.315 0.815 0.630
Th 0.685 0.185 0.370
Ru 0.628 0.628 0.256

---

Record 10
VASP calculation (GGA-PBE) on an optimized crystal structure of Th3Ga9Ru2.

Results
Fermi-level density of states = 0.41 states/eV/atom
V = 267.19 Å³ per cell
ΔH_f (0 K) = -0.525 eV per atom

a b c (Å): 4.385 8.265 8.265
angles (deg): 70.58 74.62 74.62
Sites, in units of the cell vectors:
Ga 0.655 0.983 0.706
Ga 0.870 0.849 0.411
Ga 0.130 0.589 0.151
Ga 0.130 0.151 0.589
Ga 0.870 0.411 0.849
Ga 0.345 0.294 0.017
Ga 0.000 0.500 0.500
Ru 0.500 0.681 0.319
Ru 0.500 0.319 0.681
Ga 0.655 0.706 0.983
Th 0.000 0.000 0.000
Th 0.305 0.695 0.695
Th 0.695 0.305 0.305
Ga 0.345 0.017 0.294

---

Record 11
VASP calculation (GGA-PBE) on an optimized crystal structure of Th2Ga8Ru.

Results
Fermi-level density of states = 0.48 states/eV/atom
V = 224.12 Å³ per cell
ΔH_f (0 K) = -0.475 eV per atom

a b c (Å): 4.419 4.419 11.479
angles (deg): 90.00 90.00 90.00
Sites, in units of the cell vectors:
Th 0.000 0.000 0.696
Th 0.000 0.000 0.304
Ga 0.500 0.500 0.306
Ga 0.000 0.500 0.500
Ga 0.500 0.000 0.500
Ru 0.000 0.000 0.000
Ga 0.500 0.500 0.694
Ga 0.500 0.000 0.886
Ga 0.000 0.500 0.114
Ga 0.000 0.500 0.886
Ga 0.500 0.000 0.114

---

Record 12
VASP calculation (GGA-PBE) on an optimized crystal structure of ThGa3Ru2.

Results
Fermi-level density of states = 0.50 states/eV/atom
V = 327.27 Å³ per cell
ΔH_f (0 K) = -0.469 eV per atom

a b c (Å): 3.958 8.929 9.858
angles (deg): 105.16 90.00 102.81
Sites, in units of the cell vectors:
Ga 0.950 0.900 0.647
Th 0.163 0.327 0.706
Th 0.000 0.000 0.000
Ru 0.364 0.728 0.539
Ru 0.636 0.272 0.461
Th 0.837 0.673 0.294
Ga 0.650 0.301 0.947
Ga 0.358 0.716 0.795
Ru 0.785 0.570 0.894
Ru 0.509 0.018 0.791
Ga 0.500 0.000 0.500
Ga 0.050 0.100 0.353
Ga 0.781 0.562 0.613
Ga 0.350 0.699 0.053
Ru 0.491 0.982 0.209
Ru 0.215 0.430 0.106
Ga 0.219 0.438 0.387
Ga 0.642 0.284 0.205